Compound: CrCoTcSb
Source: Alexandria via LeMat-Bulk
Functional: PBE
Structure: relaxed

Computed properties:
Magnetic moment = 3.0 μB/cell
Total DFT energy (no corrections) = -7.704 eV/atom
E_form (uncorrected) = 38.8 kJ/mol of formula units
DOS(E_F) = 3.046 states/eV/f.u.

Lattice parameters (Å, degrees): 4.3484 4.3484 4.3484 60.00 60.00 60.00
With the nearest neighbours (Å) after each atom.
Fractional coordinates of all 4 atoms:
Sb: 0.5000 0.5000 0.5000  4 Co 2.66, 4 Tc 2.66
Co: 0.7500 0.7500 0.7500  4 Sb 2.66, 4 Cr 2.66
Tc: 0.2500 0.2500 0.2500  4 Cr 2.66, 4 Sb 2.66
Cr: 0.0000 0.0000 0.0000  4 Co 2.66, 4 Tc 2.66